No. 1
This record from the Alexandria database describes an optimized crystal structure of Sm3Y5Sc2. The functional is PBE.

Summary:
Formation energy = 0.0435 eV/atom

a = 9.311 Å, b = 9.319 Å, c = 9.343 Å
α = 106.51°, β = 106.55°, γ = 115.39°
Sites, in units of the cell vectors:
Y 0.026 0.678 0.452
Y 0.728 0.575 0.052
Sm 0.226 0.073 0.048
Sm 0.177 0.729 0.150
Sc 0.927 0.976 0.646
Y 0.522 0.175 0.448
Sc 0.671 0.222 0.148
Y 0.369 0.119 0.750
Y 0.974 0.322 0.548
Sc 0.073 0.024 0.354
Sm 0.774 0.927 0.952
Y 0.272 0.425 0.948
Sm 0.823 0.271 0.850
Sm 0.579 0.527 0.350
Sm 0.421 0.473 0.650
Y 0.880 0.629 0.750
Y 0.120 0.371 0.250
Sc 0.329 0.778 0.852
Y 0.631 0.881 0.250
Y 0.478 0.825 0.552


No. 2
This record from the Alexandria database describes an optimized crystal structure of La6GaIr2Br3. The functional is PBE.

Summary:
Raw formation energy = -1.14 eV per atom

a = 4.254 Å, b = 9.311 Å, c = 10.210 Å
α = 108.53°, β = 102.02°, γ = 90.00°
Sites, in units of the cell vectors:
Ga 0.500 0.000 0.000
Br 0.838 0.160 0.676
La 0.661 0.123 0.321
Ir 0.832 0.661 0.663
La 0.319 0.442 0.639
Br 0.500 0.500 0.000
La 0.339 0.877 0.679
Br 0.162 0.840 0.324
Ir 0.168 0.339 0.337
La 0.018 0.245 0.037
La 0.982 0.755 0.963
La 0.681 0.558 0.361


No. 3
This record from the Alexandria database describes an optimized crystal structure of Ba2ZnBiO. The functional is PBE.

Summary:
Raw formation energy = -1.13 eV per atom
Distance to the lowest polymorph of the same formula = 109 meV/atom

a = 5.549 Å, b = 5.549 Å, c = 4.774 Å
α = 90.00°, β = 90.00°, γ = 90.00°
Sites, in units of the cell vectors:
Zn 0.000 0.000 0.500
Ba 0.500 0.000 0.000
O 0.000 0.000 0.000
Bi 0.500 0.500 0.500
Ba 0.000 0.500 0.000


No. 4
This record from the Alexandria database describes an optimized crystal structure of ZnAg2O4. The functional is PBE.

Summary:
Raw formation energy = -0.27 eV per atom
Distance to the lowest polymorph of the same formula = 36 meV/atom

a = 3.185 Å, b = 9.910 Å, c = 10.790 Å
α = 90.00°, β = 90.00°, γ = 90.00°
Sites, in units of the cell vectors:
Zn 0.683 0.750 0.848
O 0.873 0.876 0.451
O 0.548 0.000 0.750
Zn 0.683 0.250 0.652
Ag 0.178 0.929 0.615
O 0.873 0.624 0.451
O 0.197 0.250 0.786
O 0.873 0.376 0.049
Ag 0.822 0.429 0.385
Ag 0.178 0.429 0.885
Ag 0.822 0.071 0.385
Ag 0.178 0.571 0.615
O 0.197 0.750 0.714
O 0.873 0.124 0.049
Zn 0.317 0.250 0.152
Ag 0.822 0.571 0.115
O 0.127 0.624 0.951
O 0.452 0.000 0.250
O 0.452 0.500 0.250
O 0.127 0.876 0.951
O 0.127 0.376 0.549
Ag 0.822 0.929 0.115
O 0.548 0.500 0.750
O 0.127 0.124 0.549
O 0.803 0.750 0.214
O 0.803 0.250 0.286
Ag 0.178 0.071 0.885
Zn 0.317 0.750 0.348


No. 5
This record from the Alexandria database describes an optimized crystal structure of AcTlPbBr6. The functional is PBE.

Summary:
Raw formation energy = -1.38 eV per atom

a = 7.387 Å, b = 7.387 Å, c = 14.196 Å
α = 90.00°, β = 90.00°, γ = 90.00°
Sites, in units of the cell vectors:
Ac 0.500 0.500 0.832
Br 0.816 0.184 0.500
Br 0.706 0.706 0.679
Pb 0.000 0.000 0.666
Br 0.794 0.206 0.179
Br 0.792 0.208 0.821
Br 0.316 0.316 0.000
Br 0.294 0.294 0.679
Br 0.684 0.684 0.000
Tl 0.500 0.500 0.500
Br 0.292 0.292 0.321
Pb 0.500 0.500 0.166
Tl 0.000 0.000 0.000
Br 0.708 0.708 0.321
Ac 0.000 0.000 0.332
Br 0.208 0.792 0.821
Br 0.184 0.816 0.500
Br 0.206 0.794 0.179


No. 6
This record from the Alexandria database describes an optimized crystal structure of AcMgAl2Pt4. The functional is PBE.

Summary:
Formation energy = -1.0230 eV/atom

a = 4.341 Å, b = 4.341 Å, c = 9.517 Å
α = 76.82°, β = 76.82°, γ = 60.00°
Sites, in units of the cell vectors:
Pt 0.867 0.867 0.400
Pt 0.594 0.594 0.217
Al 0.766 0.766 0.701
Ac 0.000 0.000 0.000
Mg 0.500 0.500 0.500
Pt 0.406 0.406 0.783
Al 0.234 0.234 0.299
Pt 0.133 0.133 0.600


No. 7
This record from the Alexandria database describes an optimized crystal structure of Nd3Al2Ge3. The functional is PBE.

Summary:
Formation energy = -0.6675 eV/atom
Distance to the lowest polymorph of the same formula = 0 meV/atom

a = 4.261 Å, b = 6.134 Å, c = 14.912 Å
α = 90.00°, β = 90.00°, γ = 110.32°
Sites, in units of the cell vectors:
Ge 0.377 0.754 0.959
Nd 0.937 0.874 0.113
Al 0.224 0.448 0.397
Nd 0.355 0.711 0.750
Nd 0.937 0.874 0.387
Al 0.776 0.552 0.897
Ge 0.623 0.246 0.041
Al 0.224 0.448 0.103
Nd 0.063 0.126 0.613
Ge 0.360 0.719 0.250
Ge 0.640 0.281 0.750
Ge 0.623 0.246 0.459
Ge 0.377 0.754 0.541
Al 0.776 0.552 0.603
Nd 0.645 0.289 0.250
Nd 0.063 0.126 0.887


No. 8
This record from the Alexandria database describes an optimized crystal structure of Tl2PtBr. The functional is PBE.

Summary:
Raw formation energy = -0.03 eV per atom
Distance to the lowest polymorph of the same formula = 205 meV/atom

a = 7.613 Å, b = 7.613 Å, c = 7.613 Å
α = 32.52°, β = 32.52°, γ = 32.52°
Sites, in units of the cell vectors:
Pt 0.743 0.743 0.743
Br 0.483 0.483 0.483
Tl 0.251 0.251 0.251
Tl 0.022 0.022 0.022


No. 9
This record from the Alexandria database describes an optimized crystal structure of KAgF2. The functional is PBE.

Summary:
Raw formation energy = -1.85 eV per atom
Distance to the lowest polymorph of the same formula = 21 meV/atom

a = 6.231 Å, b = 5.358 Å, c = 5.358 Å
α = 90.35°, β = 114.89°, γ = 114.89°
Sites, in units of the cell vectors:
Ag 0.250 0.624 0.376
F 0.715 0.858 0.608
K 0.250 0.125 0.875
K 0.750 0.875 0.125
F 0.785 0.392 0.142
F 0.285 0.142 0.392
Ag 0.750 0.376 0.624
F 0.215 0.608 0.858


No. 10
This record from the Alexandria database describes an optimized crystal structure of TlTcTe4. The functional is PBE.

Summary:
Raw formation energy = 0.85 eV per atom

a = 6.412 Å, b = 6.412 Å, c = 6.412 Å
α = 60.00°, β = 60.00°, γ = 60.00°
Site moments in Bohr magnetons follow the coordinates.
Sites, in units of the cell vectors:
Te 0.374 0.877 0.374  0.06
Tl 0.750 0.750 0.750  0.01
Te 0.374 0.374 0.374  0.06
Te 0.374 0.374 0.877  0.06
Tc 0.000 0.000 0.000  3.66
Te 0.877 0.374 0.374  0.06


No. 11
This record from the Alexandria database describes an optimized crystal structure of K2MnTe2. The functional is PBE.

Summary:
Raw formation energy = -0.44 eV per atom
Distance to the lowest polymorph of the same formula = 318 meV/atom

a = 7.942 Å, b = 7.942 Å, c = 5.320 Å
α = 90.00°, β = 90.00°, γ = 90.00°
Site moments in Bohr magnetons follow the coordinates.
Sites, in units of the cell vectors:
K 0.141 0.641 0.500  0.00
K 0.641 0.859 0.500  0.00
Te 0.179 0.321 0.000  0.00
Te 0.821 0.679 0.000  0.00
Mn 0.500 0.500 0.000  4.13
Te 0.321 0.821 0.000  0.01
Mn 0.000 0.000 0.000  4.12
K 0.359 0.141 0.500  0.00
Te 0.679 0.179 0.000  0.01
K 0.859 0.359 0.500  0.00


No. 12
This record from the Alexandria database describes an optimized crystal structure of ScAs. The functional is PBE.

Summary:
Formation energy = -1.3778 eV/atom

a = 3.880 Å, b = 3.880 Å, c = 3.880 Å
α = 60.00°, β = 60.00°, γ = 60.00°
Sites, in units of the cell vectors:
Sc 0.000 0.000 0.000
As 0.500 0.500 0.500


No. 13
This record from the Alexandria database describes an optimized crystal structure of Dy4Tm3Cd2. The functional is PBE.

Summary:
Formation energy = -0.0754 eV/atom

a = 4.843 Å, b = 7.696 Å, c = 7.670 Å
α = 107.63°, β = 108.40°, γ = 90.00°
Sites, in units of the cell vectors:
Tm 0.000 0.000 0.000
Cd 0.666 0.998 0.331
Dy 0.221 0.321 0.443
Dy 0.444 0.666 0.889
Dy 0.779 0.679 0.557
Cd 0.334 0.002 0.669
Tm 0.113 0.673 0.227
Tm 0.887 0.327 0.773
Dy 0.556 0.334 0.111


No. 14
This record from the Alexandria database describes an optimized crystal structure of PmY2Zn. The functional is PBE.

Summary:
Formation energy = -0.1700 eV/atom
Distance to the lowest polymorph of the same formula = 0 meV/atom

a = 3.593 Å, b = 3.593 Å, c = 8.761 Å
α = 90.00°, β = 90.00°, γ = 90.00°
Sites, in units of the cell vectors:
Y 0.000 0.000 0.798
Pm 0.500 0.500 0.500
Y 0.000 0.000 0.202
Zn 0.500 0.500 0.000


No. 15
This record from the Alexandria database describes an optimized crystal structure of K2LiCd. The functional is PBE.

Summary:
Formation energy = 0.0248 eV/atom

a = 7.348 Å, b = 7.348 Å, c = 6.238 Å
α = 64.32°, β = 64.32°, γ = 32.67°
Sites, in units of the cell vectors:
Cd 0.211 0.211 0.291
K 0.766 0.766 0.735
Li 0.555 0.555 0.444
K 0.968 0.968 0.031


No. 16
This record from the Alexandria database describes an optimized crystal structure of Tm4Si2I5. The functional is PBE.

Summary:
Raw formation energy = -0.83 eV per atom

a = 4.085 Å, b = 8.353 Å, c = 14.262 Å
α = 107.03°, β = 98.23°, γ = 90.00°
Sites, in units of the cell vectors:
Si 0.542 0.542 0.085
I 0.167 0.420 0.334
I 0.167 0.914 0.334
Tm 0.639 0.639 0.278
Tm 0.000 0.302 0.000
I 0.500 0.000 0.000
Tm 0.361 0.361 0.722
Si 0.458 0.458 0.915
I 0.833 0.086 0.666
I 0.833 0.580 0.666
Tm 0.000 0.698 0.000


No. 17
This record from the Alexandria database describes an optimized crystal structure of Pm3DyY3. The functional is PBE.

Summary:
Formation energy = 0.1623 eV/atom
Distance to the lowest polymorph of the same formula = 146 meV/atom

a = 6.251 Å, b = 6.251 Å, c = 14.851 Å
α = 77.85°, β = 77.85°, γ = 60.00°
Sites, in units of the cell vectors:
Pm 0.199 0.868 0.395
Y 0.065 0.732 0.805
Pm 0.868 0.537 0.395
Y 0.398 0.065 0.805
Pm 0.132 0.463 0.605
Pm 0.801 0.132 0.605
Pm 0.463 0.801 0.605
Y 0.602 0.935 0.195
Dy 0.333 0.333 0.000
Y 0.935 0.268 0.195
Y 0.732 0.398 0.805
Pm 0.537 0.199 0.395
Dy 0.667 0.667 0.000
Y 0.268 0.602 0.195


No. 18
This record from the Alexandria database describes an optimized crystal structure of TeHI2. The functional is PBE.

Summary:
Distance to the lowest polymorph of the same formula = 849 meV/atom

a = 5.471 Å, b = 5.471 Å, c = 5.471 Å
α = 60.00°, β = 60.00°, γ = 60.00°
Site moments in Bohr magnetons follow the coordinates.
Sites, in units of the cell vectors:
I 0.250 0.250 0.250  0.00
H 0.000 0.000 0.000  0.31
I 0.750 0.750 0.750  0.00
Te 0.500 0.500 0.500  -0.13


No. 19
This record from the Alexandria database describes an optimized crystal structure of MgMnCo3. The functional is PBE.

Summary:
Formation energy = 0.8788 eV/atom
Distance to the lowest polymorph of the same formula = 0 meV/atom

a = 4.205 Å, b = 4.205 Å, c = 4.205 Å
α = 90.00°, β = 90.00°, γ = 90.00°
Site moments in Bohr magnetons follow the coordinates.
Sites, in units of the cell vectors:
Co 0.000 0.500 0.000  0.66
Mg 0.500 0.500 0.500  -0.01
Co 0.500 0.000 0.000  0.55
Mn 0.000 0.000 0.000  0.25
Co 0.000 0.000 0.500  0.76


No. 20
This record from the Alexandria database describes an optimized crystal structure of Sm6Ho12Tm. The functional is PBE.

Summary:
Formation energy = 0.1775 eV/atom
Distance to the lowest polymorph of the same formula = 0 meV/atom

a = 8.533 Å, b = 8.533 Å, c = 8.533 Å
α = 91.55°, β = 91.55°, γ = 91.55°
Sites, in units of the cell vectors:
Sm 0.868 0.257 0.726
Ho 0.527 0.467 0.791
Tm 0.000 0.000 0.000
Sm 0.726 0.868 0.257
Ho 0.791 0.527 0.467
Ho 0.623 0.936 0.857
Ho 0.473 0.533 0.209
Ho 0.467 0.791 0.527
Ho 0.377 0.064 0.143
Ho 0.143 0.377 0.064
Ho 0.936 0.857 0.623
Ho 0.064 0.143 0.377
Ho 0.857 0.623 0.936
Ho 0.209 0.473 0.533
Sm 0.132 0.743 0.274
Ho 0.533 0.209 0.473
Sm 0.743 0.274 0.132
Sm 0.257 0.726 0.868
Sm 0.274 0.132 0.743


The following uncorrected energy values (in eV/cell) correspond, in order, to the records above: -117.4, -69.0, -19.6, -114.7, -65.3, -45.5, -82.0, -12.5, -30.1, -20.2, -39.7, -13.7, -34.3, -19.6, -4.9, -45.6, -74.2, -6.1, -27.7, -84.3.